No. 1
DFT (PBE) results for Rb2AcTe2O7 after structural relaxation.

Structure (CIF):
```
data_Rb2AcTe2O7
_chemical_formula_sum 'Rb4 Ac2 Te4 O14'
_cell_length_a 6.134
_cell_length_b 6.124
_cell_length_c 11.646
_cell_angle_alpha 90.00
_cell_angle_beta 102.63
_cell_angle_gamma 90.00
_space_group_name_H-M_alt 'C 1 2/m 1'
_space_group_IT_number 12
loop_
_space_group_symop_operation_xyz
'x,y,z'
'-x,-y,-z'
'-x,y,-z'
'x,-y,z'
'x+1/2,y+1/2,z'
'-x+1/2,-y+1/2,-z'
'-x+1/2,y+1/2,-z'
'x+1/2,-y+1/2,z'
loop_
_atom_site_label
_atom_site_fract_x
_atom_site_fract_y
_atom_site_fract_z
_atom_site_occupancy
Rb1 0.199 0.000 0.384 1
Ac1 0.000 0.000 0.000 1
Te1 0.109 0.500 0.194 1
O1 0.000 0.500 0.000 1
O2 0.191 0.235 0.839 1
O3 0.203 0.500 0.364 1
```

Properties
The raw total energy is -134.58 eV per cell. The total moment comes out at 0.0 μB/cell. The calculation puts the density of states at the Fermi level at 3.54 states/eV/f.u. As for the uncorrected formation energy: -1.688 eV/atom.

=====

No. 2
DFT (PBE) results for BeTcN3 after structural relaxation.

Structure (CIF):
```
data_BeTcN3
_chemical_formula_sum 'Be1 Tc1 N3'
_cell_length_a 3.846
_cell_length_b 3.846
_cell_length_c 3.846
_cell_angle_alpha 90.00
_cell_angle_beta 90.00
_cell_angle_gamma 90.00
_space_group_name_H-M_alt 'P m -3 m'
_space_group_IT_number 221
_space_group_name_Hall '-P 4 2 3'
loop_
_atom_site_label
_atom_site_fract_x
_atom_site_fract_y
_atom_site_fract_z
_atom_site_occupancy
Be1 0.000 0.000 0.000 1
Tc1 0.500 0.500 0.500 1
N1 0.000 0.500 0.500 1
```

Properties
The raw total energy is -32.72 eV per cell. The total moment comes out at 0.0 μB/cell. The calculation puts the density of states at the Fermi level at 2.99 states/eV/f.u. As for the uncorrected formation energy: 1.270 eV/atom.

=====

No. 3
DFT (PBE) results for RbCuAs after structural relaxation.

Structure (CIF):
```
data_RbCuAs
_chemical_formula_sum 'Rb2 Cu2 As2'
_cell_length_a 6.437
_cell_length_b 3.933
_cell_length_c 6.909
_cell_angle_alpha 90.00
_cell_angle_beta 117.70
_cell_angle_gamma 90.00
_space_group_name_H-M_alt 'P 1 m 1'
_space_group_IT_number 6
loop_
_space_group_symop_operation_xyz
'x,y,z'
'x,-y,z'
loop_
_atom_site_label
_atom_site_fract_x
_atom_site_fract_y
_atom_site_fract_z
_atom_site_occupancy
Rb1 0.000 0.000 0.000 1
Rb2 0.495 0.500 0.000 1
Cu1 0.151 0.500 0.476 1
Cu2 0.675 0.500 0.524 1
As1 0.437 0.000 0.535 1
As2 0.902 0.000 0.465 1
```

Properties
The raw total energy is -19.59 eV per cell. The total moment comes out at 0.0 μB/cell. The calculation puts the density of states at the Fermi level at 0.66 states/eV/f.u. The calculation puts the energy relative to the lowest polymorph listed for this composition at 176.5 meV/atom.

=====

No. 4
DFT (PBE) results for VFeNiRh after structural relaxation.

Structure (CIF):
```
data_VFeNiRh
_chemical_formula_sum 'V1 Fe1 Ni1 Rh1'
_cell_length_a 3.636
_cell_length_b 3.686
_cell_length_c 3.711
_cell_angle_alpha 90.00
_cell_angle_beta 90.00
_cell_angle_gamma 90.00
_space_group_name_H-M_alt 'P m m m'
_space_group_IT_number 47
loop_
_space_group_symop_operation_xyz
'x,y,z'
'-x,-y,-z'
'-x,-y,z'
'x,y,-z'
'x,-y,-z'
'-x,y,z'
'-x,y,-z'
'x,-y,z'
loop_
_atom_site_label
_atom_site_fract_x
_atom_site_fract_y
_atom_site_fract_z
_atom_site_occupancy
V1 0.000 0.000 0.000 1
Fe1 0.500 0.000 0.500 1
Ni1 0.000 0.500 0.500 1
Rh1 0.500 0.500 0.000 1
```

Properties
The raw total energy is -31.77 eV per cell. The total moment comes out at 1.7 μB/cell. The calculation puts the density of states at the Fermi level at 1.76 states/eV/f.u. The calculation puts the energy relative to the lowest polymorph listed for this composition at 0.0 meV/atom.

=====

No. 5
DFT (PBE) results for Nd8SmPb2 after structural relaxation.

Structure (CIF):
```
data_Nd8SmPb2
_chemical_formula_sum 'Nd16 Sm2 Pb4'
_cell_length_a 16.869
_cell_length_b 6.913
_cell_length_c 6.493
_cell_angle_alpha 90.00
_cell_angle_beta 94.63
_cell_angle_gamma 90.00
_space_group_name_H-M_alt 'C 1 2/m 1'
_space_group_IT_number 12
loop_
_space_group_symop_operation_xyz
'x,y,z'
'-x,-y,-z'
'-x,y,-z'
'x,-y,z'
'x+1/2,y+1/2,z'
'-x+1/2,-y+1/2,-z'
'-x+1/2,y+1/2,-z'
'x+1/2,-y+1/2,z'
loop_
_atom_site_label
_atom_site_fract_x
_atom_site_fract_y
_atom_site_fract_z
_atom_site_occupancy
Nd1 0.083 0.000 0.400 1
Nd2 0.097 0.246 0.902 1
Nd3 0.209 0.500 0.334 1
Sm1 0.000 0.500 0.500 1
Pb1 0.244 0.000 0.169 1
```

Properties
The raw total energy is -102.87 eV per cell. The total moment comes out at 0.0 μB/cell. The calculation puts the density of states at the Fermi level at 14.80 states/eV/f.u.

=====

No. 6
DFT (PBE) results for AlTl2Sb after structural relaxation.

Structure (CIF):
```
data_AlTl2Sb
_chemical_formula_sum 'Al2 Tl4 Sb2'
_cell_length_a 3.959
_cell_length_b 4.085
_cell_length_c 14.755
_cell_angle_alpha 90.00
_cell_angle_beta 90.00
_cell_angle_gamma 90.00
_space_group_name_H-M_alt 'I m m m'
_space_group_IT_number 71
_space_group_name_Hall '-I 2 2'
loop_
_atom_site_label
_atom_site_fract_x
_atom_site_fract_y
_atom_site_fract_z
_atom_site_occupancy
Al1 0.000 0.000 0.000 1
Tl1 0.000 0.500 0.321 1
Sb1 0.000 0.000 0.500 1
```

Properties
The raw total energy is -24.43 eV per cell. The total moment comes out at 0.0 μB/cell. The calculation puts the density of states at the Fermi level at 1.48 states/eV/f.u. The calculation puts the energy relative to the lowest polymorph listed for this composition at 17.3 meV/atom. As for the uncorrected formation energy: 0.096 eV/atom.

=====

No. 7
DFT (PBE) results for Tb12AlCd6 after structural relaxation.

Structure (CIF):
```
data_Tb12AlCd6
_chemical_formula_sum 'Tb36 Al3 Cd18'
_cell_length_a 11.2745
_cell_length_b 11.2745
_cell_length_c 14.3814
_cell_angle_alpha 90.00
_cell_angle_beta 90.00
_cell_angle_gamma 120.00
_space_group_name_H-M_alt 'R -3'
_space_group_IT_number 148
_space_group_name_Hall '-R 3'
loop_
_atom_site_label
_atom_site_fract_x
_atom_site_fract_y
_atom_site_fract_z
_atom_site_occupancy
Tb1 0.0277 0.1870 0.3238 1
Tb2 0.0613 0.8516 0.9062 1
Al1 0.0000 0.0000 0.5000 1
Cd1 0.0336 0.4386 0.2042 1
```

Properties
The raw total energy is -201.36 eV per cell. The total moment comes out at 0.0 μB/cell. The calculation puts the density of states at the Fermi level at 21.05 states/eV/f.u.

=====

No. 8
DFT (PBE) results for AlSbSeI2 after structural relaxation.

Structure (CIF):
```
data_AlSbSeI2
_chemical_formula_sum 'Al1 Sb1 Se1 I2'
_cell_length_a 5.300
_cell_length_b 5.300
_cell_length_c 5.785
_cell_angle_alpha 90.00
_cell_angle_beta 90.00
_cell_angle_gamma 90.00
_space_group_name_H-M_alt 'P 4/m m m'
_space_group_IT_number 123
_space_group_name_Hall '-P 4 2'
loop_
_atom_site_label
_atom_site_fract_x
_atom_site_fract_y
_atom_site_fract_z
_atom_site_occupancy
Al1 0.000 0.000 0.000 1
Sb1 0.000 0.000 0.500 1
Se1 0.500 0.500 0.500 1
I1 0.000 0.500 0.000 1
```

Properties
The raw total energy is -12.60 eV per cell. The total moment comes out at 0.3 μB/cell. The calculation puts the density of states at the Fermi level at 2.83 states/eV/f.u. The calculation puts the energy relative to the lowest polymorph listed for this composition at 0.0 meV/atom. As for the uncorrected formation energy: 0.370 eV/atom.

=====

No. 9
DFT (PBE) results for CeNd2Dy3 after structural relaxation.

Structure (CIF):
```
data_CeNd2Dy3
_chemical_formula_sum 'Ce4 Nd8 Dy12'
_cell_length_a 18.079
_cell_length_b 3.464
_cell_length_c 14.290
_cell_angle_alpha 90.00
_cell_angle_beta 118.72
_cell_angle_gamma 90.00
_space_group_name_H-M_alt 'C 1 2/m 1'
_space_group_IT_number 12
loop_
_space_group_symop_operation_xyz
'x,y,z'
'-x,-y,-z'
'-x,y,-z'
'x,-y,z'
'x+1/2,y+1/2,z'
'-x+1/2,-y+1/2,-z'
'-x+1/2,y+1/2,-z'
'x+1/2,-y+1/2,z'
loop_
_atom_site_label
_atom_site_fract_x
_atom_site_fract_y
_atom_site_fract_z
_atom_site_occupancy
Ce1 0.050 0.000 0.110 1
Nd1 0.154 0.000 0.961 1
Nd2 0.176 0.500 0.377 1
Dy1 0.040 0.500 0.707 1
Dy2 0.101 0.000 0.530 1
Dy3 0.241 0.000 0.794 1
```

Properties
The raw total energy is -113.46 eV per cell. The total moment comes out at 2.9 μB/cell. The calculation puts the density of states at the Fermi level at 12.00 states/eV/f.u.

=====

No. 10
DFT (PBE) results for Ca2BePd after structural relaxation.

Structure (CIF):
```
data_Ca2BePd
_chemical_formula_sum 'Ca8 Be4 Pd4'
_cell_length_a 7.786
_cell_length_b 7.786
_cell_length_c 6.269
_cell_angle_alpha 90.00
_cell_angle_beta 90.00
_cell_angle_gamma 90.00
_space_group_name_H-M_alt 'I -4 2 d'
_space_group_IT_number 122
_space_group_name_Hall 'I -4 2bw'
loop_
_atom_site_label
_atom_site_fract_x
_atom_site_fract_y
_atom_site_fract_z
_atom_site_occupancy
Ca1 0.240 0.750 0.125 1
Be1 0.000 0.000 0.500 1
Pd1 0.000 0.000 0.000 1
```

Properties
The raw total energy is -48.18 eV per cell. The total moment comes out at 0.0 μB/cell. The calculation puts the density of states at the Fermi level at 2.44 states/eV/f.u.

=====

No. 11
DFT (PBE) results for ErZn4Au4 after structural relaxation.

Structure (CIF):
```
data_ErZn4Au4
_chemical_formula_sum 'Er2 Zn8 Au8'
_cell_length_a 8.367
_cell_length_b 8.367
_cell_length_c 4.797
_cell_angle_alpha 90.00
_cell_angle_beta 90.00
_cell_angle_gamma 90.00
_space_group_name_H-M_alt 'I 4/m'
_space_group_IT_number 87
_space_group_name_Hall '-I 4'
loop_
_atom_site_label
_atom_site_fract_x
_atom_site_fract_y
_atom_site_fract_z
_atom_site_occupancy
Er1 0.000 0.000 0.000 1
Zn1 0.118 0.220 0.500 1
Au1 0.072 0.343 0.000 1
```

Properties
The raw total energy is -50.75 eV per cell. The total moment comes out at 0.0 μB/cell. The calculation puts the density of states at the Fermi level at 2.43 states/eV/f.u.